The following is a DFT calculation (PBE-GGA) of crystalline YZnRu2 at its relaxed geometry.

Cell and atoms, written as POSCAR:
```
YZnRu2
1.0
3.324 0.000 0.000
0.000 4.870 0.000
0.000 0.000 8.367
Y Zn Ru
2 2 4
Direct
0.000 0.000 0.000 Y
0.500 0.500 0.000 Y
0.000 0.000 0.500 Zn
0.500 0.500 0.500 Zn
0.000 0.500 0.266 Ru
0.000 0.500 0.734 Ru
0.500 0.000 0.266 Ru
0.500 0.000 0.734 Ru
```

Space-group type = Cmmm
Total DFT energy (no corrections) = -25.309 eV/f.u.
Calculated density = 8.7 g cm⁻³